Entry 1:
Zr2InOs (GGA-PBEsol, relaxed); crystal system = cubic; total energy = -8.449 eV/atom; energy of formation from the pure elements = -0.419 eV/f.u.; DOS at the Fermi energy = 4.3 states/eV/f.u.
1.0
0.000 3.329 3.329
3.329 0.000 3.329
3.329 3.329 0.000
Zr In Os
2 1 1
Direct
0.000 0.000 0.000
0.250 0.250 0.250
0.750 0.750 0.750
0.500 0.500 0.500

***

Entry 2:
Zr2InOs (GGA-PBEsol, relaxed); crystal system = tetragonal; total energy = -8.756 eV/atom; energy of formation from the pure elements = -1.648 eV/f.u.; DOS at the Fermi energy = 2.7 states/eV/f.u.
1.0
3.142 0.000 0.000
0.000 3.142 0.000
0.000 0.000 7.882
Zr In Os
2 1 1
Direct
0.000 0.000 0.212
0.000 0.000 0.788
0.500 0.500 0.500
0.500 0.500 0.000

***

Entry 3:
Zr2InOs (GGA-PBEsol, relaxed); crystal system = trigonal; total energy = -8.456 eV/atom; energy of formation from the pure elements = -0.444 eV/f.u.; DOS at the Fermi energy = 3.3 states/eV/f.u.
1.0
1.621 0.936 8.891
-1.621 0.936 8.891
0.000 -1.872 8.891
Zr In Os
2 1 1
Direct
0.239 0.239 0.239
0.761 0.761 0.761
0.000 0.000 0.000
0.500 0.500 0.500

***

Entry 4:
ZrInOs2 (GGA-PBEsol, relaxed); crystal system = trigonal; total energy = -8.854 eV/atom; energy of formation from the pure elements = 1.088 eV/f.u.; DOS at the Fermi energy = 2.2 states/eV/f.u.
1.0
1.524 0.880 8.589
-1.524 0.880 8.589
0.000 -1.760 8.589
Zr In Os
1 1 2
Direct
0.000 0.000 0.000
0.500 0.500 0.500
0.253 0.253 0.253
0.747 0.747 0.747

***

Entry 5:
InP3 (GGA-PBEsol, relaxed); crystal system = trigonal; total energy = -5.165 eV/atom; energy of formation from the pure elements = -0.302 eV/f.u.; DOS at the Fermi energy = 0.8 states/eV/f.u.
1.0
3.715 2.145 3.274
-3.715 2.145 3.274
0.000 -4.290 3.274
In P
2 6
Direct
0.226 0.226 0.226
0.774 0.774 0.774
0.259 0.705 0.705
0.295 0.295 0.741
0.295 0.741 0.295
0.705 0.259 0.705
0.705 0.705 0.259
0.741 0.295 0.295

***

Entry 6:
InP2 (GGA-PBEsol, relaxed); crystal system = cubic; total energy = -4.432 eV/atom; energy of formation from the pure elements = 1.269 eV/f.u.; DOS at the Fermi energy = 1.8 states/eV/f.u.
1.0
0.000 3.765 3.765
3.765 0.000 3.765
3.765 3.765 0.000
In P
2 4
Direct
0.125 0.125 0.125
0.875 0.875 0.875
0.000 0.500 0.500
0.500 0.000 0.500
0.500 0.500 0.000
0.500 0.500 0.500

***

Question: Among the records above, which one has the highest total energy?
Answer: InP2

***

Question: Which value of total energy does entry 2 give?
Answer: -8.756 eV/atom

***

Question: Which formula does entry 1 have?
Answer: Zr2InOs

***

Question: What is the total energy in the first record?
Answer: -8.449 eV/atom